Material: Nd6ErIn2
Method: DFT, PBE
State: relaxed

The structure in POSCAR format:
```
Nd6ErIn2
1.0
6.5587 -1.9199 0.0000
6.5587 1.9199 0.0000
-3.7361 0.0000 11.5348
Nd Er In
6 1 2
Cartesian
-1.0090 0.0000 3.9135 Nd
2.5027 0.0000 4.7006 Nd
3.7441 0.0000 1.4127 Nd
5.6372 0.0000 10.1221 Nd
6.8786 0.0000 6.8342 Nd
10.3903 0.0000 7.6214 Nd
0.0000 0.0000 0.0000 Er
1.7025 0.0000 9.3078 In
7.6788 0.0000 2.2270 In
```

Summary:
- Polymorph energy (0 for the lowest one): 0.000 eV per atom
- Energy of formation from the pure elements: -0.197 eV per atom
- Density of states at the Fermi level: 1.19 states/eV/atom
- E_tot: -40.4 eV per cell